DFT (PBE+U) results for CaMnF3 after structural relaxation.

Computed properties:
The value obtained for the density of states at the Fermi level is 0.302 states/eV per atom. The value obtained for the magnetization is 1.01 μB per atom. The calculation puts the total DFT energy (no corrections) at -27.313 eV/f.u.

Structure (POSCAR):
```
CaMnF3
1.0
4.3234 0.0000 0.0000
0.0000 4.3234 0.0000
0.0000 0.0000 4.3234
Ca Mn F
1 1 3
Direct
0.0000 0.0000 0.0000
0.5000 0.5000 0.5000
0.0000 0.5000 0.5000
0.5000 0.0000 0.5000
0.5000 0.5000 0.0000
```